VASP calculation (GGA+U) on a relaxed VZnF4 crystal.

Properties
The energy relative to the lowest polymorph listed for this composition comes out at 413 meV/atom. The density of states at the Fermi level comes out at 6.4 states/eV/f.u.

abc: 4.976 4.976 9.542
angles: 90.00 90.00 90.00
Space group P-42c (No. 112)
Unique sites:
V 0.000 0.000 0.000 x2
Zn 0.000 0.500 0.250 x2
F 0.196 0.273 0.380 x8